# Pr3Si4Au, relaxed, DFT PBE
# - formation energy (no corrections) (eV per atom) = -0.577
# - DOS at the Fermi energy (states/eV/f.u.) = 1.97
# - calculated total energy (Ry/atom) = -0.40356
# - density (g cm⁻³) = 6.16
# - volume (A^3/atom) = 24.67
# - total magnetization (μB per cell) = 0.00
data_Pr3Si4Au
_space_group_name_H-M_alt 'I m m m'
_space_group_IT_number 71
_space_group_name_Hall '-I 2 2'
_cell_length_a 4.503
_cell_length_b 5.796
_cell_length_c 15.123
_cell_angle_alpha 90.00
_cell_angle_beta 90.00
_cell_angle_gamma 90.00
loop_
_atom_site_label
_atom_site_type_symbol
_atom_site_fract_x
_atom_site_fract_y
_atom_site_fract_z
Pr1 Pr 0.000 0.000 0.000
Pr2 Pr 0.000 0.500 0.191
Si1 Si 0.000 0.296 0.379
Au1 Au 0.000 0.000 0.500